This record from the Alexandria database describes a relaxed AcPm5Ag4 crystal. The functional is PBE.

Values from the calculation:
DFT formation energy, eV per atom: -0.21

Unit cell a=3.7329 b=3.7329 c=20.3842 alpha=90.00 beta=90.00 gamma=90.00
Space group P4/mmm (No. 123)
Unique sites:
Ac 0.0000 0.0000 0.0000
Pm 0.5000 0.5000 0.1329
Pm 0.5000 0.5000 0.3159
Pm 0.5000 0.5000 0.5000
Ag 0.0000 0.0000 0.2251
Ag 0.0000 0.0000 0.4076

This record from the Alexandria database describes a relaxed ZnHgAs crystal. The functional is PBE.

Values from the calculation:
DFT formation energy, eV per atom: 0.23
Offset from the most stable computed form, eV per atom: 0.1993

Unit cell a=3.0425 b=3.0425 c=13.3723 alpha=90.00 beta=90.00 gamma=90.00
Space group I4mm (No. 107)
Unique sites:
Zn 0.0000 0.0000 0.0000
Hg 0.0000 0.0000 0.3368
As 0.0000 0.0000 0.6304

This record from the Alexandria database describes a relaxed CaBrCl2 crystal. The functional is PBE.

Values from the calculation:
E_form (uncorrected), eV per atom: -1.229
Offset from the most stable computed form, eV per atom: 0.4065

Unit cell a=4.8630 b=4.8630 c=8.2794 alpha=90.00 beta=90.00 gamma=90.00
Space group I4/mmm (No. 139)
Unique sites:
Ca 0.0000 0.0000 0.0000
Br 0.0000 0.0000 0.5000
Cl 0.0000 0.5000 0.2500

This record from the Alexandria database describes a relaxed LiSmPu2S4 crystal. The functional is PBE.

Values from the calculation:
E_form (uncorrected), eV per atom: -1.752

Unit cell a=6.8386 b=3.9770 c=6.8491 alpha=90.00 beta=109.74 gamma=90.00
Space group P2/m (No. 10)
Unique sites:
Li 0.0000 0.0000 0.0000
Sm 0.0000 0.5000 0.5000
Pu 0.5000 0.0000 0.5000
Pu 0.5000 0.5000 0.0000
S 0.2489 0.5000 0.2465
S 0.2511 0.0000 0.7552

This record from the Alexandria database describes a relaxed Si23N3 crystal. The functional is PBE.

Values from the calculation:
E_form (uncorrected), eV per atom: 0.622

Unit cell a=10.2071 b=10.2071 c=10.2071 alpha=90.00 beta=90.00 gamma=90.00
Space group Pm-3n (No. 223)
Unique sites:
Si 0.0000 0.1169 0.3087
Si 0.0000 0.2500 0.5000
Si 0.1836 0.1836 0.1836
N 0.0000 0.5000 0.2500

This record from the Alexandria database describes a relaxed BaCa2Cd2 crystal. The functional is PBE.

Values from the calculation:
DFT formation energy, eV per atom: -0.20
Offset from the most stable computed form, eV per atom: 0.0381

Unit cell a=5.9308 b=4.8205 c=13.3286 alpha=90.00 beta=95.72 gamma=90.00
Space group P2_1/m (No. 11)
Unique sites:
Ba 0.1844 0.2500 0.2442
Ca 0.2483 0.7500 0.4930
Ca 0.3503 0.2500 0.8949
Cd 0.1343 0.7500 0.0199
Cd 0.2885 0.2500 0.6521

This record from the Alexandria database describes a relaxed Tb2Dy2ErSc2 crystal. The functional is PBE.

Values from the calculation:
DFT formation energy, eV per atom: 0.11

Unit cell a=11.2630 b=3.4129 c=11.5051 alpha=90.00 beta=109.08 gamma=90.00
Space group C2/m (No. 12)
Unique sites:
Tb 0.1701 0.0000 0.0877
Dy 0.0481 0.0000 0.7677
Er 0.0000 0.5000 0.5000
Sc 0.2276 0.5000 0.3671

This record from the Alexandria database describes a relaxed BeOsRu2 crystal. The functional is PBE.

Values from the calculation:
DFT formation energy, eV per atom: 0.34

Unit cell a=2.7934 b=4.5378 c=8.3074 alpha=90.00 beta=90.00 gamma=90.00
Space group Cmmm (No. 65)
Unique sites:
Be 0.0000 0.0000 0.0000
Os 0.0000 0.0000 0.5000
Ru 0.0000 0.5000 0.2252

This record from the Alexandria database describes a relaxed Ag2Ru crystal. The functional is PBE.

Values from the calculation:
DFT formation energy, eV per atom: 0.48
Offset from the most stable computed form, eV per atom: 0.1265

Unit cell a=4.3429 b=12.2191 c=3.8278 alpha=90.00 beta=90.00 gamma=90.00
Space group Cmcm (No. 63)
Unique sites:
Ag 0.0000 0.0854 0.2500
Ag 0.0000 0.2524 0.7500
Ru 0.0000 0.4357 0.2500

This record from the Alexandria database describes a relaxed CsNaLiSb crystal. The functional is PBE.

Values from the calculation:
E_form (uncorrected), eV per atom: -0.332
Offset from the most stable computed form, eV per atom: 0.1217

Unit cell a=7.9206 b=7.9206 c=7.9206 alpha=90.00 beta=90.00 gamma=90.00
Space group F-43m (No. 216)
Unique sites:
Cs 0.0000 0.0000 0.0000
Na 0.2500 0.2500 0.2500
Li 0.2500 0.2500 0.7500
Sb 0.0000 0.0000 0.5000

This record from the Alexandria database describes a relaxed Hf2BPd crystal. The functional is PBE.

Values from the calculation:
DFT formation energy, eV per atom: -0.06

Unit cell a=6.6600 b=6.6600 c=6.3978 alpha=90.00 beta=90.00 gamma=90.00
Space group I-42d (No. 122)
Unique sites:
Hf 0.2017 0.7500 0.1250
B 0.0000 0.0000 0.0000
Pd 0.0000 0.0000 0.5000

This record from the Alexandria database describes a relaxed Mo3Au crystal. The functional is PBE.

Values from the calculation:
DFT formation energy, eV per atom: 0.20

Unit cell a=4.0260 b=4.0260 c=15.8774 alpha=90.00 beta=90.00 gamma=90.00
Space group I4/mmm (No. 139)
Unique sites:
Mo 0.0000 0.0000 0.1211
Mo 0.0000 0.5000 0.0000
Mo 0.0000 0.5000 0.2500
Au 0.0000 0.0000 0.3745